# 1
Here is a PBEsol-optimized structure of ZrTiCu2 from the Alexandria database. Energies are from SCAN.

```
ZrTiCu2
1.0
-0.738 0.245 4.371
-2.246 -3.230 2.057
2.111 -2.758 2.766
Cu Zr Ti
2 1 1
direct
0.750 0.750 0.750
0.250 0.250 0.250
0.500 0.500 0.500
0.000 0.000 0.000
```

Properties
energy of formation from the pure elements = -0.165 eV per atom
symmetry = No. 225
D(E_F) = 0.524 states/eV per atom

# 2
Here is a PBEsol-optimized structure of Zr3TiCu from the Alexandria database. Energies are from SCAN.

```
Zr3TiCu
1.0
4.819 0.000 0.000
0.000 4.819 0.000
0.000 0.000 4.819
Zr Ti Cu
3 1 1
direct
0.500 0.000 0.000
0.000 0.500 0.000
0.000 0.000 0.500
0.000 0.000 0.000
0.500 0.500 0.500
```

Properties
energy of formation from the pure elements = 1.010 eV per atom
symmetry = No. 221
D(E_F) = 1.317 states/eV per atom

# 3
Here is a PBEsol-optimized structure of Tl3Cu from the Alexandria database. Energies are from SCAN.

```
Tl3Cu
1.0
-1.550 1.132 2.875
2.473 -2.407 0.202
6.424 6.671 0.836
Tl Cu
3 1
direct
0.333 0.667 0.795
0.333 0.667 0.205
0.000 0.000 0.500
0.000 0.000 0.000
```

Properties
energy of formation from the pure elements = 0.222 eV per atom
symmetry = No. 187
D(E_F) = 0.413 states/eV per atom

# 4
Here is a PBEsol-optimized structure of TlCu2W from the Alexandria database. Energies are from SCAN.

```
TlCu2W
1.0
2.817 0.000 0.000
0.000 4.837 0.000
-1.409 -2.418 4.662
W Tl Cu
1 1 2
direct
0.000 0.500 0.000
0.500 0.000 0.000
0.261 0.261 0.523
0.739 0.739 0.477
```

Properties
energy of formation from the pure elements = 0.791 eV per atom
symmetry = No. 71
D(E_F) = 0.478 states/eV per atom

# 5
Here is a PBEsol-optimized structure of TlCu2W from the Alexandria database. Energies are from SCAN.

```
TlCu2W
1.0
2.856 0.000 0.000
1.428 2.474 0.000
1.428 0.825 8.966
Cu W Tl
2 1 1
direct
0.745 0.745 0.766
0.255 0.255 0.234
0.000 0.000 0.000
0.500 0.500 0.500
```

Properties
energy of formation from the pure elements = 0.644 eV per atom
symmetry = No. 166
D(E_F) = 0.528 states/eV per atom

# 6
Here is a PBEsol-optimized structure of YTlCu from the Alexandria database. Energies are from SCAN.

```
YTlCu
1.0
-4.010 -0.719 -2.064
-1.867 -4.168 0.026
-3.739 -0.812 2.494
Y Cu Tl
1 1 1
direct
0.500 0.500 0.500
0.250 0.250 0.250
0.000 0.000 0.000
```

Properties
energy of formation from the pure elements = -0.365 eV per atom
symmetry = No. 216
D(E_F) = 1.253 states/eV per atom

- Which formula does entry 5 have?
  TlCu2W